The following is a PBE calculation of crystalline SrMgZn2Co at its relaxed geometry, from Alexandria via LeMat-Bulk.

Unit cell a=4.763 b=4.763 c=4.763 alpha=90.00 beta=90.00 gamma=90.00
Sites, in units of the cell vectors:
Sr 0.000 0.000 0.000
Mg 0.500 0.500 0.000
Zn 0.000 0.500 0.500
Zn 0.500 0.000 0.500
Co 0.500 0.500 0.500

Results
SG = No. 123
Formation enthalpy at 0 K = -48 meV per atom